# 1
The following is a GGA-PBE calculation of a relaxed MgSi2Tc crystal, from the Alexandria database.

Lattice parameters (Å, degrees): 3.794 3.794 3.966 90.00 90.00 90.00
Sites, in units of the cell vectors:
Mg 0.000 0.000 0.000
Si 0.000 0.500 0.500
Si 0.500 0.000 0.500
Tc 0.500 0.500 0.000

Summary:
Formation energy (no corrections), eV/atom: 0.1114
DOS(E_F), states/eV/atom: 0.5537
Spin magnetization, μB/f.u.: 0.51
Symmetry: P4/mmm

# 2
The following is a GGA-PBE calculation of a relaxed RbCaLa3 crystal, from the Alexandria database.

Lattice parameters (Å, degrees): 5.930 5.930 5.930 90.00 90.00 90.00
Sites, in units of the cell vectors:
Rb 0.000 0.000 0.000
Ca 0.500 0.500 0.500
La 0.000 0.000 0.500
La 0.000 0.500 0.000
La 0.500 0.000 0.000

Summary:
Formation energy from the elements, eV/atom: 0.89
DOS(E_F), states/eV/atom: 1.6385
Spin magnetization, μB/f.u.: 0.00
Symmetry: Pm-3m

# 3
The following is a GGA-PBE calculation of a relaxed SrCoIr2 crystal, from the Alexandria database.

Lattice parameters (Å, degrees): 4.746 4.746 3.128 90.00 90.00 90.00
Sites, in units of the cell vectors:
Sr 0.000 0.000 0.000
Co 0.500 0.500 0.000
Ir 0.000 0.500 0.500
Ir 0.500 0.000 0.500

Summary:
Formation energy from the elements, eV/atom: 0.73
DOS(E_F), states/eV/atom: 1.2209
Spin magnetization, μB/f.u.: 3.27
Symmetry: P4/mmm

# 4
The following is a GGA-PBE calculation of a relaxed BiP2IO crystal, from the Alexandria database.

Lattice parameters (Å, degrees): 5.225 5.225 3.991 90.00 90.00 90.00
Sites, in units of the cell vectors:
Bi 0.000 0.000 0.000
P 0.000 0.500 0.500
P 0.500 0.000 0.500
I 0.500 0.500 0.500
O 0.500 0.500 0.000

Summary:
Formation energy (no corrections), eV/atom: 0.6837
DOS(E_F), states/eV/atom: 0.6458
Spin magnetization, μB/f.u.: 0.00
Symmetry: P4/mmm

# 5
The following is a GGA-PBE calculation of a relaxed SrMnFe2 crystal, from the Alexandria database.

Lattice parameters (Å, degrees): 6.024 6.024 6.024 39.50 39.50 39.50
Sites, in units of the cell vectors:
Sr 0.000 0.000 0.000
Mn 0.500 0.500 0.500
Fe 0.190 0.190 0.190
Fe 0.810 0.810 0.810

Summary:
Formation energy from the elements, eV/atom: 0.40
DOS(E_F), states/eV/atom: 1.5888
Spin magnetization, μB/f.u.: 1.41
Symmetry: R-3m

# 6
The following is a GGA-PBE calculation of a relaxed ScICl2 crystal, from the Alexandria database.

Lattice parameters (Å, degrees): 12.943 12.943 12.943 16.23 16.23 16.23
Sites, in units of the cell vectors:
Sc 0.000 0.000 0.000
I 0.500 0.500 0.500
Cl 0.059 0.059 0.059
Cl 0.941 0.941 0.941

Summary:
Formation energy (no corrections), eV/atom: -0.7026
DOS(E_F), states/eV/atom: 0.5273
Spin magnetization, μB/f.u.: 0.10
Symmetry: R-3m

# 7
The following is a GGA-PBE calculation of a relaxed In2AgPb8 crystal, from the Alexandria database.

Lattice parameters (Å, degrees): 9.054 9.054 7.996 107.09 107.09 31.34
Sites, in units of the cell vectors:
In 0.228 0.228 0.134
In 0.772 0.772 0.866
Ag 0.500 0.500 0.500
Pb 0.045 0.045 0.231
Pb 0.129 0.129 0.671
Pb 0.321 0.321 0.584
Pb 0.406 0.406 0.049
Pb 0.594 0.594 0.951
Pb 0.679 0.679 0.416
Pb 0.871 0.871 0.329
Pb 0.955 0.955 0.769

Summary:
Formation energy from the elements, eV/atom: 0.04
DOS(E_F), states/eV/atom: 0.4490
Spin magnetization, μB/f.u.: 0.00
Symmetry: C2/m

# 8
The following is a GGA-PBE calculation of a relaxed Y3CS2 crystal, from the Alexandria database.

Lattice parameters (Å, degrees): 6.727 6.727 6.727 147.63 132.48 58.68
Sites, in units of the cell vectors:
Y 0.000 0.000 0.000
Y 0.358 0.358 0.000
Y 0.642 0.642 0.000
C 0.500 0.000 0.500
S 0.173 0.673 0.500
S 0.827 0.327 0.500

Summary:
Formation energy (no corrections), eV/atom: -1.5439
DOS(E_F), states/eV/atom: 0.2518
Spin magnetization, μB/f.u.: 0.00
Symmetry: Immm

# 9
The following is a GGA-PBE calculation of a relaxed Cu2HgBr6 crystal, from the Alexandria database.

Lattice parameters (Å, degrees): 9.520 9.520 6.832 91.09 91.09 89.44
Sites, in units of the cell vectors:
Cu 0.001 0.833 0.608
Cu 0.167 0.999 0.892
Cu 0.833 0.001 0.108
Cu 0.999 0.167 0.392
Hg 0.429 0.571 0.750
Hg 0.571 0.429 0.250
Br 0.007 0.188 0.037
Br 0.014 0.628 0.419
Br 0.188 0.007 0.537
Br 0.290 0.481 0.025
Br 0.372 0.986 0.081
Br 0.481 0.290 0.525
Br 0.519 0.710 0.475
Br 0.628 0.014 0.919
Br 0.710 0.519 0.975
Br 0.812 0.993 0.463
Br 0.986 0.372 0.581
Br 0.993 0.812 0.963

Summary:
Formation energy (no corrections), eV/atom: -0.2583
DOS(E_F), states/eV/atom: 0.6322
Spin magnetization, μB/f.u.: 0.00
Symmetry: C2/c

# 10
The following is a GGA-PBE calculation of a relaxed Tl2Te5 crystal, from the Alexandria database.

Lattice parameters (Å, degrees): 7.195 7.195 5.664 110.49 110.49 76.60
Sites, in units of the cell vectors:
Tl 0.194 0.194 0.355
Tl 0.806 0.806 0.645
Te 0.151 0.649 0.230
Te 0.351 0.849 0.770
Te 0.500 0.500 0.000
Te 0.649 0.151 0.230
Te 0.849 0.351 0.770

Summary:
Formation energy (no corrections), eV/atom: -0.1316
DOS(E_F), states/eV/atom: 0.2706
Spin magnetization, μB/f.u.: 0.00
Symmetry: C2/m

# 11
The following is a GGA-PBE calculation of a relaxed Sr3Mg4Ga4 crystal, from the Alexandria database.

Lattice parameters (Å, degrees): 9.107 9.107 9.107 150.30 128.99 60.14
Sites, in units of the cell vectors:
Sr 0.000 0.000 0.000
Sr 0.376 0.876 0.500
Sr 0.624 0.124 0.500
Mg 0.021 0.328 0.692
Mg 0.364 0.672 0.692
Mg 0.636 0.328 0.308
Mg 0.979 0.672 0.308
Ga 0.220 0.220 0.000
Ga 0.328 0.500 0.828
Ga 0.672 0.500 0.172
Ga 0.780 0.780 0.000

Summary:
Formation energy from the elements, eV/atom: -0.31
DOS(E_F), states/eV/atom: 0.7029
Spin magnetization, μB/f.u.: 0.00
Symmetry: Immm

# 12
The following is a GGA-PBE calculation of a relaxed La2TiIr crystal, from the Alexandria database.

Lattice parameters (Å, degrees): 5.178 5.178 5.178 60.00 60.00 60.00
Sites, in units of the cell vectors:
La 0.250 0.250 0.250
La 0.750 0.750 0.750
Ti 0.000 0.000 0.000
Ir 0.500 0.500 0.500

Summary:
Formation energy from the elements, eV/atom: -0.02
DOS(E_F), states/eV/atom: 1.3850
Spin magnetization, μB/f.u.: 2.61
Symmetry: Fm-3m